Computed, not measured: crystalline K3Ag2I6 at its relaxed geometry at the PBE level of DFT.

The value obtained for the uncorrected formation energy is -856.9 meV/atom.

a b c (Å): 5.5927 5.5927 29.7512
angles (deg): 90.00 90.00 90.00
Last column: nearest neighbours and their distance in Å.
Space group I4/mmm (No. 139)
Symmetry-distinct sites (fractional):
K 0.0000 0.0000 0.0000 (multiplicity 2)  8 I 3.67
K 0.0000 0.0000 0.1805 (multiplicity 4)  1 I 3.52
Ag 0.0000 0.0000 0.3960 (multiplicity 4)  5 I 2.89
I 0.0000 0.0000 0.2990 (multiplicity 4)  1 Ag 2.89
I 0.0000 0.5000 0.0797 (multiplicity 8)  2 Ag 2.89

=====

Computed, not measured: crystalline KAg2I at its relaxed geometry at the PBE level of DFT.

The value obtained for the uncorrected formation energy is 19.0 meV/atom.

a b c (Å): 9.2808 9.2808 6.2806
angles (deg): 90.00 90.00 90.00
Last column: nearest neighbours and their distance in Å.
Space group I-42d (No. 122)
Symmetry-distinct sites (fractional):
K 0.0000 0.0000 0.0000 (multiplicity 4)  2 I 3.14
Ag 0.2045 0.2500 0.6250 (multiplicity 8)  2 I 3.10, 2 Ag 3.25
I 0.0000 0.0000 0.5000 (multiplicity 4)  4 Ag 3.10, 2 K 3.14

=====

Computed, not measured: crystalline K5AgI4 at its relaxed geometry at the PBE level of DFT.

The value obtained for the uncorrected formation energy is -1153.9 meV/atom.

a b c (Å): 5.0511 5.0511 35.7734
angles (deg): 90.00 90.00 90.00
Last column: nearest neighbours and their distance in Å.
Space group I4/mmm (No. 139)
Symmetry-distinct sites (fractional):
K 0.0000 0.0000 0.0000 (multiplicity 2)  2 I 3.57, 4 Ag 3.57
K 0.0000 0.0000 0.2000 (multiplicity 4)  6 I 3.57-3.59
K 0.0000 0.0000 0.4004 (multiplicity 4)  1 Ag 3.56, 5 I 3.57-3.59
Ag 0.0000 0.0000 0.5000 (multiplicity 2)  6 K 3.56-3.57
I 0.0000 0.0000 0.0997 (multiplicity 4)  6 K 3.57-3.58
I 0.0000 0.0000 0.3002 (multiplicity 4)  6 K 3.57-3.59

=====

Computed, not measured: crystalline K2AgI at its relaxed geometry at the PBE level of DFT.

The value obtained for the uncorrected formation energy is -644.7 meV/atom.

a b c (Å): 4.8817 4.8817 25.9478
angles (deg): 90.00 90.00 120.00
Last column: nearest neighbours and their distance in Å.
Space group R3m (No. 160, hexagonal axes)
Symmetry-distinct sites (fractional):
K 0.0000 0.0000 0.0000 (multiplicity 3)  3 Ag 3.52, 3 I 3.57
K 0.0000 0.0000 0.1695 (multiplicity 3)  3 Ag 3.54, 3 I 3.58
Ag 0.0000 0.0000 0.5852 (multiplicity 3)  6 K 3.52-3.54
I 0.0000 0.0000 0.4177 (multiplicity 3)  6 K 3.57-3.58

=====

Computed, not measured: crystalline K2AgI at its relaxed geometry at the PBE level of DFT.

The value obtained for the uncorrected formation energy is -661.4 meV/atom.

a b c (Å): 4.9858 4.9858 24.9570
angles (deg): 90.00 90.00 120.00
Last column: nearest neighbours and their distance in Å.
Space group R-3m (No. 166, hexagonal axes)
Symmetry-distinct sites (fractional):
K 0.0000 0.0000 0.2504 (multiplicity 6)  3 Ag 3.54, 3 I 3.56
Ag 0.0000 0.0000 0.0000 (multiplicity 3)  6 K 3.54
I 0.0000 0.0000 0.5000 (multiplicity 3)  6 K 3.56

=====

Computed, not measured: crystalline KAg5I8 at its relaxed geometry at the PBE level of DFT.

The value obtained for the uncorrected formation energy is -259.5 meV/atom.

a b c (Å): 12.7737 12.7737 12.7737
angles (deg): 90.00 90.00 90.00
Last column: nearest neighbours and their distance in Å.
Space group F-43m (No. 216)
Symmetry-distinct sites (fractional):
K 0.0000 0.0000 0.0000 (multiplicity 4)  4 I 3.16
Ag 0.1237 0.1237 0.3763 (multiplicity 16)  6 I 3.00-3.08
Ag 0.2500 0.2500 0.7500 (multiplicity 4)  4 I 2.93
I 0.1173 0.1173 0.6173 (multiplicity 16)  4 Ag 2.93-3.08
I 0.1427 0.1427 0.1427 (multiplicity 16)  3 Ag 3.00, 1 K 3.16